Record 1
RbNa10Pb2 | PBE-GGA | relaxed

Values from the calculation:
Its calculated formation energy is -107 kJ/mol of formula units.

a b c (Å): 8.926 8.926 11.816
angles (deg): 90.00 90.00 97.24
Fractional coordinates of all 26 atoms:
Na 0.164 0.836 0.590
Pb 0.500 0.000 0.500
Na 0.228 0.228 0.500
Pb 0.000 0.500 0.000
Na 0.836 0.164 0.410
Rb 0.131 0.869 0.250
Na 0.376 0.624 0.448
Na 0.475 0.220 0.250
Pb 0.000 0.500 0.500
Na 0.414 0.125 0.750
Na 0.875 0.586 0.750
Na 0.772 0.772 0.500
Na 0.780 0.525 0.250
Na 0.772 0.772 0.000
Pb 0.500 0.000 0.000
Na 0.164 0.836 0.910
Na 0.220 0.475 0.750
Na 0.376 0.624 0.052
Na 0.624 0.376 0.552
Na 0.624 0.376 0.948
Na 0.525 0.780 0.750
Na 0.228 0.228 0.000
Rb 0.869 0.131 0.750
Na 0.586 0.875 0.250
Na 0.836 0.164 0.090
Na 0.125 0.414 0.250



Record 2
La2ScSb3Pd4 | PBE-GGA | relaxed

Values from the calculation:
Its uncorrected formation energy is -92.2 kJ/mol of atoms.

a b c (Å): 4.491 4.491 11.389
angles (deg): 90.00 90.00 90.00
Fractional coordinates of all 10 atoms:
Sb 0.000 0.500 0.133
Sc 0.500 0.500 0.500
Pd 0.000 0.500 0.364
Sb 0.000 0.000 0.500
Pd 0.500 0.500 0.000
Sb 0.500 0.000 0.867
Pd 0.000 0.000 0.000
Pd 0.500 0.000 0.636
La 0.500 0.000 0.226
La 0.000 0.500 0.774



Record 3
SrTeAu | PBE-GGA | relaxed

Values from the calculation:
Its uncorrected formation energy is -62.7 kJ/mol of atoms. For the energy relative to the lowest polymorph listed for this composition, the calculation gives 31.3 kJ/mol of atoms.

a b c (Å): 5.278 5.278 5.278
angles (deg): 60.00 60.00 60.00
Fractional coordinates of all 3 atoms:
Te 0.000 0.000 0.000
Au 0.500 0.500 0.500
Sr 0.750 0.750 0.750



Record 4
Zr2NpScAs4 | PBE-GGA | relaxed

Values from the calculation:
Its calculated formation energy is -842 kJ/mol of formula units.

a b c (Å): 3.919 6.775 6.840
angles (deg): 109.18 90.00 90.00
Fractional coordinates of all 8 atoms:
Sc 0.000 0.000 0.000
As 0.000 0.758 0.257
Zr 0.000 0.500 0.500
As 0.000 0.242 0.743
As 0.500 0.246 0.252
Np 0.500 0.500 0.000
As 0.500 0.754 0.748
Zr 0.500 0.000 0.500



Record 5
Cs2Ac2PuS6 | PBE-GGA | relaxed

Values from the calculation:
Its uncorrected formation energy is -166.9 kJ/mol of atoms.

a b c (Å): 7.477 7.477 8.600
angles (deg): 98.41 98.41 119.40
Fractional coordinates of all 11 atoms:
S 0.632 0.943 0.321
Cs 0.169 0.831 0.000
S 0.759 0.759 0.680
S 0.368 0.057 0.679
S 0.057 0.368 0.679
Ac 0.666 0.334 0.500
Pu 0.000 0.000 0.500
S 0.241 0.241 0.320
Cs 0.831 0.169 0.000
Ac 0.334 0.666 0.500
S 0.943 0.632 0.321



Record 6
SbC5 | PBE-GGA | relaxed

Values from the calculation:
Its uncorrected formation energy is 233.9 kJ/mol of atoms. For the energy relative to the lowest polymorph listed for this composition, the calculation gives 126.4 kJ/mol of atoms.

a b c (Å): 3.437 3.437 5.929
angles (deg): 90.00 90.00 90.00
Fractional coordinates of all 6 atoms:
C 0.000 0.000 0.727
C 0.000 0.000 0.273
C 0.000 0.000 0.500
C 0.500 0.500 0.388
C 0.500 0.500 0.612
Sb 0.500 0.500 0.000